! PBE-GGA Er3TeSe2, relaxed; values from VASP
&SYSTEM
  ibrav = 0, nat = 6, ntyp = 3
/
ATOMIC_SPECIES
Er 167.26 Er.upf
Te 127.60 Te.upf
Se 78.96 Se.upf
ATOMIC_POSITIONS crystal
Er 0.000 0.000 0.000
Er 0.316 0.316 0.000
Er 0.684 0.684 0.000
Te 0.500 0.000 0.500
Se 0.161 0.661 0.500
Se 0.839 0.339 0.500
CELL_PARAMETERS angstrom
-2.072 2.925 6.197
2.072 -2.925 6.197
2.072 2.925 -6.197
! uncorrected formation energy	-1.507	eV/atom
! Fermi-level density of states	2.79	states/eV/f.u.
! space group	No. 71
! spin magnetization	0.00	μB per cell